No. 1
# KBaSe2 (SCAN, PBEsol geometry)
data_KBaSe2
_chemical_formula_sum 'K1 Ba1 Se2'
_cell_length_a 4.140
_cell_length_b 4.140
_cell_length_c 6.816
_cell_angle_alpha 90.00
_cell_angle_beta 90.00
_cell_angle_gamma 90.00
_symmetry_space_group_name_H-M 'P 1'
_symmetry_Int_Tables_number 1
loop_
_symmetry_equiv_pos_as_xyz
'x,y,z'
loop_
_atom_site_label
_atom_site_fract_x
_atom_site_fract_y
_atom_site_fract_z
K1 0.000 0.000 0.000
Ba1 0.000 0.000 0.500
Se1 0.500 0.500 0.261
Se2 0.500 0.500 0.739
# Energy relative to the elements, uncorrected: -1.504 eV/atom



No. 2
# Ca5Ta4O15 (SCAN, PBEsol geometry)
data_Ca5Ta4O15
_chemical_formula_sum 'Ca10 Ta8 O30'
_cell_length_a 5.471
_cell_length_b 5.471
_cell_length_c 23.206
_cell_angle_alpha 90.00
_cell_angle_beta 90.00
_cell_angle_gamma 120.00
_symmetry_space_group_name_H-M 'P 1'
_symmetry_Int_Tables_number 1
loop_
_symmetry_equiv_pos_as_xyz
'x,y,z'
loop_
_atom_site_label
_atom_site_fract_x
_atom_site_fract_y
_atom_site_fract_z
Ca1 0.000 0.000 0.000
Ca2 0.000 0.000 0.500
Ca3 0.333 0.667 0.232
Ca4 0.333 0.667 0.382
Ca5 0.333 0.667 0.732
Ca6 0.333 0.667 0.882
Ca7 0.667 0.333 0.118
Ca8 0.667 0.333 0.268
Ca9 0.667 0.333 0.618
Ca10 0.667 0.333 0.768
Ta1 0.000 0.000 0.157
Ta2 0.000 0.000 0.343
Ta3 0.000 0.000 0.657
Ta4 0.000 0.000 0.843
Ta5 0.333 0.667 0.053
Ta6 0.333 0.667 0.553
Ta7 0.667 0.333 0.447
Ta8 0.667 0.333 0.947
O1 0.000 0.500 0.000
O2 0.000 0.500 0.500
O3 0.072 0.340 0.307
O4 0.072 0.733 0.807
O5 0.095 0.321 0.596
O6 0.095 0.774 0.096
O7 0.226 0.321 0.096
O8 0.226 0.905 0.596
O9 0.267 0.340 0.807
O10 0.267 0.928 0.307
O11 0.321 0.095 0.904
O12 0.321 0.226 0.404
O13 0.340 0.072 0.193
O14 0.340 0.267 0.693
O15 0.500 0.000 0.000
O16 0.500 0.000 0.500
O17 0.500 0.500 0.000
O18 0.500 0.500 0.500
O19 0.660 0.733 0.307
O20 0.660 0.928 0.807
O21 0.679 0.774 0.596
O22 0.679 0.905 0.096
O23 0.733 0.072 0.693
O24 0.733 0.660 0.193
O25 0.774 0.095 0.404
O26 0.774 0.679 0.904
O27 0.905 0.226 0.904
O28 0.905 0.679 0.404
O29 0.928 0.267 0.193
O30 0.928 0.660 0.693
# Energy relative to the elements, uncorrected: -3.258 eV/atom
# Energy relative to the lowest polymorph listed for this composition: 0.0 meV/atom



No. 3
# Ba2SrIrO6 (SCAN, PBEsol geometry)
data_Ba2SrIrO6
_chemical_formula_sum 'Ba2 Sr1 Ir1 O6'
_cell_length_a 6.043
_cell_length_b 6.043
_cell_length_c 6.043
_cell_angle_alpha 60.00
_cell_angle_beta 60.00
_cell_angle_gamma 60.00
_symmetry_space_group_name_H-M 'P 1'
_symmetry_Int_Tables_number 1
loop_
_symmetry_equiv_pos_as_xyz
'x,y,z'
loop_
_atom_site_label
_atom_site_fract_x
_atom_site_fract_y
_atom_site_fract_z
Ba1 0.250 0.250 0.250
Ba2 0.750 0.750 0.750
Sr1 0.000 0.000 0.000
Ir1 0.500 0.500 0.500
O1 0.275 0.275 0.725
O2 0.275 0.725 0.275
O3 0.275 0.725 0.725
O4 0.725 0.275 0.275
O5 0.725 0.275 0.725
O6 0.725 0.725 0.275
# Energy relative to the elements, uncorrected: -2.287 eV/atom



No. 4
# MoOs3Cl (SCAN, PBEsol geometry)
data_MoOs3Cl
_chemical_formula_sum 'Mo1 Os3 Cl1'
_cell_length_a 4.282
_cell_length_b 4.282
_cell_length_c 4.282
_cell_angle_alpha 90.00
_cell_angle_beta 90.00
_cell_angle_gamma 90.00
_symmetry_space_group_name_H-M 'P 1'
_symmetry_Int_Tables_number 1
loop_
_symmetry_equiv_pos_as_xyz
'x,y,z'
loop_
_atom_site_label
_atom_site_fract_x
_atom_site_fract_y
_atom_site_fract_z
Mo1 0.000 0.000 0.000
Os1 0.000 0.500 0.500
Os2 0.500 0.000 0.500
Os3 0.500 0.500 0.000
Cl1 0.500 0.500 0.500
# Energy relative to the elements, uncorrected: 2.084 eV/atom



V in Å³/f.u., matching the order above: 117, 301, 156, 79